(1)
Computed, not measured: crystalline Zr11Sb18 at its relaxed geometry at the PBE level of DFT.

abc: 30.639 30.639 30.639
angles: 167.20 167.20 18.13
Sites, in units of the cell vectors:
Zr 0.000 0.000 0.000
Zr 0.024 0.524 0.500
Zr 0.089 0.089 0.000
Zr 0.113 0.613 0.500
Zr 0.183 0.183 0.000
Zr 0.202 0.702 0.500
Zr 0.274 0.274 0.000
Zr 0.298 0.798 0.500
Zr 0.363 0.363 0.000
Zr 0.387 0.887 0.500
Zr 0.452 0.452 0.000
Zr 0.476 0.976 0.500
Zr 0.548 0.548 0.000
Zr 0.567 0.067 0.500
Zr 0.637 0.637 0.000
Zr 0.661 0.161 0.500
Zr 0.726 0.726 0.000
Zr 0.750 0.250 0.500
Zr 0.817 0.817 0.000
Zr 0.839 0.339 0.500
Zr 0.911 0.911 0.000
Zr 0.933 0.433 0.500
Sb 0.000 0.858 0.551
Sb 0.032 0.125 0.407
Sb 0.081 0.459 0.070
Sb 0.115 0.776 0.976
Sb 0.142 0.693 0.142
Sb 0.159 0.151 0.670
Sb 0.199 0.557 0.949
Sb 0.209 0.331 0.570
Sb 0.224 0.200 0.339
Sb 0.238 0.730 0.830
Sb 0.270 0.099 0.508
Sb 0.307 0.449 0.449
Sb 0.361 0.791 0.121
Sb 0.375 0.968 0.093
Sb 0.389 0.011 0.930
Sb 0.443 0.392 0.642
Sb 0.480 0.488 0.330
Sb 0.512 0.841 0.992
Sb 0.526 0.365 0.476
Sb 0.541 0.611 0.621
Sb 0.551 0.000 0.858
Sb 0.591 0.762 0.492
Sb 0.608 0.250 0.051
Sb 0.635 0.111 0.161
Sb 0.669 0.239 0.879
Sb 0.718 0.625 0.593
Sb 0.750 0.801 0.358
Sb 0.761 0.639 0.430
Sb 0.800 0.139 0.024
Sb 0.849 0.520 0.008
Sb 0.861 0.885 0.661
Sb 0.875 0.282 0.907
Sb 0.889 0.050 0.524
Sb 0.901 0.409 0.170
Sb 0.950 0.474 0.839
Sb 0.989 0.919 0.379

Total DFT energy (no corrections) in eV per formula unit: -185.4
Space-group type: I-42d

(2)
Computed, not measured: crystalline KNa3Hf2Te6 at its relaxed geometry at the PBE level of DFT.

abc: 7.565 7.565 8.166
angles: 99.48 99.48 120.96
Sites, in units of the cell vectors:
K 0.000 0.000 0.000
Na 0.346 0.654 0.000
Na 0.500 0.500 0.500
Na 0.654 0.346 0.000
Hf 0.168 0.832 0.500
Hf 0.832 0.168 0.500
Te 0.053 0.426 0.281
Te 0.221 0.221 0.706
Te 0.426 0.053 0.281
Te 0.574 0.947 0.719
Te 0.779 0.779 0.294
Te 0.947 0.574 0.719

Space-group type: C2/m
Relative energy among the computed polymorphs in eV/atom: 0.000